1.
## Tb2CoSi4Pt (PBE-GGA)

Data for a relaxed Tb2CoSi4Pt crystal.

Cell lengths 4.1020, 4.0727, 16.5659 Å; angles 90.00, 90.00, 90.00 degrees
With the nearest neighbours (Å) after each atom.
Space group Amm2 (No. 38)
Symmetry-distinct sites (fractional):
1 Tb 0.0000 0.0000 0.0000 (multiplicity 2)  10 Si 3.11-3.31, 4 Pt 3.14
2 Tb 0.5000 0.0000 0.2078 (multiplicity 2)  10 Si 3.03-3.07, 4 Co 3.13
3 Co 0.0000 0.0000 0.7811 (multiplicity 2)  5 Si 2.24-2.30
4 Si 0.0000 0.0000 0.3449 (multiplicity 2)  2 Co 2.29, 2 Pt 2.46
5 Si 0.0000 0.0000 0.6460 (multiplicity 2)  1 Co 2.24, 2 Si 2.41
6 Si 0.5000 0.0000 0.5699 (multiplicity 2)  1 Pt 2.37, 2 Si 2.41
7 Si 0.5000 0.0000 0.8434 (multiplicity 2)  2 Co 2.30, 2 Pt 2.46
8 Pt 0.5000 0.0000 0.4266 (multiplicity 2)  5 Si 2.37-2.46

Computed properties:
E: -6.405 eV per atom
total moment: 0.0009 μB/atom

2.
## RbZn4As2P (PBE-GGA)

Data for a relaxed RbZn4As2P crystal.

Cell lengths 4.1474, 4.1474, 10.2965 Å; angles 90.00, 90.00, 90.00 degrees
With the nearest neighbours (Å) after each atom.
Space group P4/mmm (No. 123)
Symmetry-distinct sites (fractional):
1 Rb 0.0000 0.0000 0.0000 (multiplicity 1)  8 As 3.65
2 Zn 0.0000 0.5000 0.3479 (multiplicity 4)  2 As 2.51, 2 P 2.60
3 As 0.5000 0.5000 0.2110 (multiplicity 2)  4 Zn 2.51
4 P 0.0000 0.0000 0.5000 (multiplicity 1)  8 Zn 2.60

Computed properties:
E: -2.894 eV per atom